No. 1
# SrInI5 (PBE, optimized geometry)
# **Magnetization**: 0.0 μB per formula unit
# **Crystal system**: monoclinic
# **Uncorrected formation energy**: -0.966 eV/atom
# **Total DFT energy (no corrections)**: -2.704 eV/atom
data_SrInI5
_space_group_name_H-M_alt 'C 1 2/c 1'
_space_group_IT_number 15
_space_group_name_Hall '-C 2yc'
_cell_length_a 12.231
_cell_length_b 11.837
_cell_length_c 11.913
_cell_angle_alpha 90.00
_cell_angle_beta 117.99
_cell_angle_gamma 90.00
loop_
_atom_site_label
_atom_site_fract_x
_atom_site_fract_y
_atom_site_fract_z
_atom_site_occupancy
Sr1 0.000 0.000 0.000 1
In1 0.000 0.398 0.250 1
I1 0.000 0.097 0.750 1
I2 0.013 0.282 0.458 1
I3 0.195 0.448 0.838 1

---

No. 2
# SrIn3I (PBE, optimized geometry)
# **Magnetization**: 1.2 μB per formula unit
# **Crystal system**: cubic
# **Uncorrected formation energy**: 0.488 eV/atom
# **Energy relative to the lowest polymorph listed for this composition**: 294.5 meV per atom
# **Total DFT energy (no corrections)**: -1.802 eV/atom
data_SrIn3I
_space_group_name_H-M_alt 'P m -3 m'
_space_group_IT_number 221
_space_group_name_Hall '-P 4 2 3'
_cell_length_a 6.465
_cell_length_b 6.465
_cell_length_c 6.465
_cell_angle_alpha 90.00
_cell_angle_beta 90.00
_cell_angle_gamma 90.00
loop_
_atom_site_label
_atom_site_fract_x
_atom_site_fract_y
_atom_site_fract_z
_atom_site_occupancy
Sr1 0.000 0.000 0.000 1
In1 0.000 0.000 0.500 1
I1 0.500 0.500 0.500 1

---

No. 3
# SrIn3I12 (PBE, optimized geometry)
# **Magnetization**: 0.0 μB per formula unit
# **Crystal system**: trigonal
# **Uncorrected formation energy**: -0.630 eV/atom
# **Total DFT energy (no corrections)**: -2.411 eV/atom
data_SrIn3I12
_space_group_name_H-M_alt 'R 3 c'
_space_group_IT_number 161
_space_group_name_Hall 'R 3 -2"c'
_cell_length_a 12.8090
_cell_length_b 12.8090
_cell_length_c 38.1335
_cell_angle_alpha 90.00
_cell_angle_beta 90.00
_cell_angle_gamma 120.00
loop_
_atom_site_label
_atom_site_fract_x
_atom_site_fract_y
_atom_site_fract_z
_atom_site_occupancy
Sr1 0.0000 0.0000 0.0000 1
In1 0.0581 0.3536 0.0525 1
I1 0.1614 0.3353 0.4931 1
I2 0.1792 0.3832 0.8761 1
I3 0.1971 0.4224 0.6072 1
I4 0.2220 0.1104 0.0640 1